This record from Alexandria via LeMat-Bulk describes a relaxed Cd2SbCN crystal. The functional is PBE-GGA.

Results
- Formation energy from raw total energies: 10.567 eV/f.u.

Unit cell a=5.8202 b=5.8202 c=4.3082 alpha=90.00 beta=90.00 gamma=90.00
Closest atoms and distances in Å follow each position.
Space group P4/mmm (No. 123)
Unique sites:
Cd 0.0000 0.5000 0.0000 [2 per cell]  2 Sb 2.91
Sb 0.0000 0.0000 0.0000 [1 per cell]  2 C 2.15
C 0.0000 0.0000 0.5000 [1 per cell]  2 Sb 2.15
N 0.5000 0.5000 0.5000 [1 per cell]  8 Cd 3.62

This record from Alexandria via LeMat-Bulk describes a relaxed CdCSeN2 crystal. The functional is PBE-GGA.

Results
- Formation energy from raw total energies: 14.787 eV/f.u.

Unit cell a=4.1602 b=4.1602 c=5.8534 alpha=90.00 beta=90.00 gamma=90.00
Closest atoms and distances in Å follow each position.
Space group P4/mmm (No. 123)
Unique sites:
Cd 0.0000 0.0000 0.0000 [1 per cell]  4 N 2.08
C 0.5000 0.5000 0.5000 [1 per cell]  4 Se 2.94
Se 0.0000 0.0000 0.5000 [1 per cell]  2 Cd 2.93, 4 C 2.94
N 0.0000 0.5000 0.0000 [2 per cell]  2 Cd 2.08

This record from Alexandria via LeMat-Bulk describes a relaxed CdCSe2N crystal. The functional is PBE-GGA.

Results
- Formation energy from raw total energies: 2.755 eV/f.u.

Unit cell a=6.4017 b=6.4017 c=2.5070 alpha=90.00 beta=90.00 gamma=90.00
Closest atoms and distances in Å follow each position.
Space group P4/mmm (No. 123)
Unique sites:
Cd 0.0000 0.0000 0.0000 [1 per cell]  2 Cd 2.51
C 0.5000 0.5000 0.5000 [1 per cell]  2 N 1.25
Se 0.0000 0.5000 0.5000 [2 per cell]  2 Se 2.51
N 0.5000 0.5000 0.0000 [1 per cell]  2 C 1.25

This record from Alexandria via LeMat-Bulk describes a relaxed CdCSeN2 crystal. The functional is PBE-GGA.

Results
- Formation energy from raw total energies: 10.981 eV/f.u.

Unit cell a=3.8105 b=3.8105 c=4.4576 alpha=90.00 beta=90.00 gamma=90.00
Closest atoms and distances in Å follow each position.
Space group P4/mmm (No. 123)
Unique sites:
Cd 0.0000 0.0000 0.0000 [1 per cell]  4 Se 2.69, 8 N 2.93
C 0.5000 0.5000 0.5000 [1 per cell]  4 N 1.91
Se 0.5000 0.5000 0.0000 [1 per cell]  2 C 2.23
N 0.0000 0.5000 0.5000 [2 per cell]  2 C 1.91

This record from Alexandria via LeMat-Bulk describes a relaxed CdCSe2N crystal. The functional is PBE-GGA.

Results
- Formation energy from raw total energies: 12.264 eV/f.u.

Unit cell a=5.3259 b=5.3259 c=4.1873 alpha=90.00 beta=90.00 gamma=90.00
Closest atoms and distances in Å follow each position.
Space group P4/mmm (No. 123)
Unique sites:
Cd 0.0000 0.0000 0.0000 [1 per cell]  2 N 2.09
C 0.5000 0.5000 0.5000 [1 per cell]  8 Se 3.39, 4 N 3.77
Se 0.0000 0.5000 0.0000 [2 per cell]  2 Cd 2.66
N 0.0000 0.0000 0.5000 [1 per cell]  2 Cd 2.09

This record from Alexandria via LeMat-Bulk describes a relaxed ZnCdC4Se4N4 crystal. The functional is PBE-GGA.

Results
- Formation energy from raw total energies: 2.060 eV/f.u.

Unit cell a=11.4031 b=11.4031 c=5.3019 alpha=90.00 beta=90.00 gamma=90.00
Closest atoms and distances in Å follow each position.
Space group I-4 (No. 82)
Unique sites:
Zn 0.0000 0.0000 0.0000 [2 per cell]  4 N 1.97
Cd 0.0000 0.5000 0.7500 [2 per cell]  4 Se 2.71
C 0.0584 0.2158 0.6536 [8 per cell]  1 N 1.17
Se 0.0985 0.3359 0.4476 [8 per cell]  1 C 1.81
N 0.0352 0.1357 0.7835 [8 per cell]  1 C 1.17

This record from Alexandria via LeMat-Bulk describes a relaxed Sr2CdCN crystal. The functional is PBE-GGA.

Results
- Formation energy from raw total energies: 7.242 eV/f.u.

Unit cell a=5.9841 b=5.9841 c=4.0196 alpha=90.00 beta=90.00 gamma=90.00
Closest atoms and distances in Å follow each position.
Space group P4/mmm (No. 123)
Unique sites:
Sr 0.0000 0.5000 0.0000 [2 per cell]  2 Cd 2.99
Cd 0.0000 0.0000 0.0000 [1 per cell]  2 N 2.01
C 0.5000 0.5000 0.5000 [1 per cell]  8 Sr 3.60, 2 C 4.02
N 0.0000 0.0000 0.5000 [1 per cell]  2 Cd 2.01

This record from Alexandria via LeMat-Bulk describes a relaxed CdTe2CN crystal. The functional is PBE-GGA.

Results
- Formation energy from raw total energies: 3.883 eV/f.u.

Unit cell a=6.8022 b=6.8022 c=2.6398 alpha=90.00 beta=90.00 gamma=90.00
Closest atoms and distances in Å follow each position.
Space group P4/mmm (No. 123)
Unique sites:
Cd 0.0000 0.0000 0.0000 [1 per cell]  2 Cd 2.64
Te 0.0000 0.5000 0.5000 [2 per cell]  2 Te 2.64
C 0.5000 0.5000 0.5000 [1 per cell]  2 N 1.32
N 0.5000 0.5000 0.0000 [1 per cell]  2 C 1.32